1.
# TbFe3B4O12 PBE with a Hubbard U relaxed
# Total moment in μB/atom: 0.75
# Theoretical density in Mg/m³: 4.6
# Final energy in eV/cell: -458.04
data_TbFe3B4O12
_cell_length_a 9.6217
_cell_length_b 9.6217
_cell_length_c 7.6583
_cell_angle_alpha 90.00
_cell_angle_beta 90.00
_cell_angle_gamma 120.00
_symmetry_space_group_name_H-M 'P 31 2 1'
_symmetry_Int_Tables_number 152
loop_
_symmetry_equiv_pos_as_xyz
'x,y,z'
'-y,x-y,z+1/3'
'-x+y,-x,z+2/3'
'y,x,-z'
'x-y,-y,-z+2/3'
'-x,-x+y,-z+1/3'
loop_
_atom_site_label
_atom_site_fract_x
_atom_site_fract_y
_atom_site_fract_z
_atom_site_occupancy
Tb1 0.0000 0.3349 0.1667 1
Fe1 0.0000 0.8848 0.1667 1
Fe2 0.2127 0.6637 0.4890 1
B1 0.0000 0.3319 0.6667 1
B2 0.0000 0.7781 0.6667 1
B3 0.1238 0.6759 0.9863 1
O1 0.0000 0.1882 0.6667 1
O2 0.0000 0.9218 0.6667 1
O3 0.0096 0.5348 0.3513 1
O4 0.1221 0.8171 0.0116 1
O5 0.1446 0.4747 0.6581 1
O6 0.1472 0.7855 0.6485 1
O7 0.2748 0.6932 0.9630 1

***

2.
# TlFeBO4 PBE with a Hubbard U relaxed
# Total moment in μB/atom: 0.57
# Theoretical density in Mg/m³: 7.6
# Final energy in eV/cell: -170.95
data_TlFeBO4
_cell_length_a 5.8900
_cell_length_b 6.0223
_cell_length_c 8.2090
_cell_angle_alpha 90.00
_cell_angle_beta 90.00
_cell_angle_gamma 90.00
_symmetry_space_group_name_H-M 'I m m a'
_symmetry_Int_Tables_number 74
_symmetry_space_group_name_Hall '-I 2b 2'
loop_
_atom_site_label
_atom_site_fract_x
_atom_site_fract_y
_atom_site_fract_z
_atom_site_occupancy
Tl1 0.0000 0.0000 0.0000 1
Fe1 0.2500 0.2500 0.2500 1
B1 0.0000 0.2500 0.6252 1
O1 0.0000 0.0347 0.7235 1
O2 0.2062 0.2500 0.5073 1

***

3.
# TmFe2B2O6 PBE with a Hubbard U relaxed
# Total moment in μB/atom: 0.78
# Theoretical density in Mg/m³: 4.2
# Final energy in eV/cell: -82.57
data_TmFe2B2O6
_cell_length_a 4.9971
_cell_length_b 4.9971
_cell_length_c 7.2578
_cell_angle_alpha 90.00
_cell_angle_beta 90.00
_cell_angle_gamma 120.00
_symmetry_space_group_name_H-M 'P -3'
_symmetry_Int_Tables_number 147
loop_
_symmetry_equiv_pos_as_xyz
'x,y,z'
'-x,-y,-z'
'-y,x-y,z'
'y,-x+y,-z'
'-x+y,-x,z'
'x-y,x,-z'
loop_
_atom_site_label
_atom_site_fract_x
_atom_site_fract_y
_atom_site_fract_z
_atom_site_occupancy
Tm1 0.0000 0.0000 0.0000 1
Fe1 0.3333 0.6667 0.3030 1
B1 0.3333 0.6667 0.8081 1
O1 0.0615 0.6774 0.8114 1

***

4.
# YFeBO4 PBE with a Hubbard U relaxed
# Total moment in μB/atom: 0.57
# Theoretical density in Mg/m³: 5.0
# Final energy in eV/cell: -214.95
data_YFeBO4
_cell_length_a 5.7981
_cell_length_b 6.1158
_cell_length_c 8.1857
_cell_angle_alpha 90.00
_cell_angle_beta 90.00
_cell_angle_gamma 90.00
_symmetry_space_group_name_H-M 'I m m a'
_symmetry_Int_Tables_number 74
_symmetry_space_group_name_Hall '-I 2b 2'
loop_
_atom_site_label
_atom_site_fract_x
_atom_site_fract_y
_atom_site_fract_z
_atom_site_occupancy
Y1 0.0000 0.0000 0.0000 1
Fe1 0.2500 0.2500 0.2500 1
B1 0.0000 0.2500 0.6172 1
O1 0.0000 0.0395 0.7262 1
O2 0.2141 0.2500 0.5084 1

***

Q: Number 3 is which compound?
A: TmFe2B2O6

***

What did the second record say?
# TlFeBO4 PBE with a Hubbard U relaxed
# Total moment in μB/atom: 0.57
# Theoretical density in Mg/m³: 7.6
# Final energy in eV/cell: -170.95
data_TlFeBO4
_cell_length_a 5.8900
_cell_length_b 6.0223
_cell_length_c 8.2090
_cell_angle_alpha 90.00
_cell_angle_beta 90.00
_cell_angle_gamma 90.00
_symmetry_space_group_name_H-M 'I m m a'
_symmetry_Int_Tables_number 74
_symmetry_space_group_name_Hall '-I 2b 2'
loop_
_atom_site_label
_atom_site_fract_x
_atom_site_fract_y
_atom_site_fract_z
_atom_site_occupancy
Tl1 0.0000 0.0000 0.0000 1
Fe1 0.2500 0.2500 0.2500 1
B1 0.0000 0.2500 0.6252 1
O1 0.0000 0.0347 0.7235 1
O2 0.2062 0.2500 0.5073 1

***

What did the second record say?
# TlFeBO4 PBE with a Hubbard U relaxed
# Total moment in μB/atom: 0.57
# Theoretical density in Mg/m³: 7.6
# Final energy in eV/cell: -170.95
data_TlFeBO4
_cell_length_a 5.8900
_cell_length_b 6.0223
_cell_length_c 8.2090
_cell_angle_alpha 90.00
_cell_angle_beta 90.00
_cell_angle_gamma 90.00
_symmetry_space_group_name_H-M 'I m m a'
_symmetry_Int_Tables_number 74
_symmetry_space_group_name_Hall '-I 2b 2'
loop_
_atom_site_label
_atom_site_fract_x
_atom_site_fract_y
_atom_site_fract_z
_atom_site_occupancy
Tl1 0.0000 0.0000 0.0000 1
Fe1 0.2500 0.2500 0.2500 1
B1 0.0000 0.2500 0.6252 1
O1 0.0000 0.0347 0.7235 1
O2 0.2062 0.2500 0.5073 1

***

Q: Number 2 is which compound?
A: TlFeBO4